# MgNbFe2 (PBE-GGA, relaxed)
# Energy relative to the elements, kcal/mol of atoms: 2.14
data_MgNbFe2
_symmetry_space_group_name_H-M 'P 4/m m m'
_symmetry_Int_Tables_number 123
_symmetry_space_group_name_Hall '-P 4 2'
_cell_length_a 3.059
_cell_length_b 3.059
_cell_length_c 6.082
_cell_angle_alpha 90.00
_cell_angle_beta 90.00
_cell_angle_gamma 90.00
loop_
_atom_site_label
_atom_site_type_symbol
_atom_site_fract_x
_atom_site_fract_y
_atom_site_fract_z
Mg1 Mg 0.000 0.000 0.000
Nb1 Nb 0.000 0.000 0.500
Fe1 Fe 0.500 0.500 0.270

***

# Mg2NbFe (PBE-GGA, relaxed)
# Energy above the lowest structure with this stoichiometry, meV/atom: 0
# Energy relative to the elements, kcal/mol of atoms: 15.19
data_Mg2NbFe
_symmetry_space_group_name_H-M 'F m -3 m'
_symmetry_Int_Tables_number 225
_symmetry_space_group_name_Hall '-F 4 2 3'
_cell_length_a 6.407
_cell_length_b 6.407
_cell_length_c 6.407
_cell_angle_alpha 90.00
_cell_angle_beta 90.00
_cell_angle_gamma 90.00
loop_
_atom_site_label
_atom_site_type_symbol
_atom_site_fract_x
_atom_site_fract_y
_atom_site_fract_z
Mg1 Mg 0.250 0.250 0.250
Nb1 Nb 0.000 0.000 0.000
Fe1 Fe 0.000 0.000 0.500

***

# MgNbFe2 (PBE-GGA, relaxed)
# Energy relative to the elements, kcal/mol of atoms: 14.89
data_MgNbFe2
_symmetry_space_group_name_H-M 'I -4 2 d'
_symmetry_Int_Tables_number 122
_symmetry_space_group_name_Hall 'I -4 2bw'
_cell_length_a 6.808
_cell_length_b 6.808
_cell_length_c 5.460
_cell_angle_alpha 90.00
_cell_angle_beta 90.00
_cell_angle_gamma 90.00
loop_
_atom_site_label
_atom_site_type_symbol
_atom_site_fract_x
_atom_site_fract_y
_atom_site_fract_z
Mg1 Mg 0.000 0.000 0.000
Nb1 Nb 0.000 0.000 0.500
Fe1 Fe 0.231 0.250 0.625

***

# MgNbFe (PBE-GGA, relaxed)
# Energy relative to the elements, kcal/mol of atoms: 4.79
data_MgNbFe
_symmetry_space_group_name_H-M 'A m m 2'
_symmetry_Int_Tables_number 38
_cell_length_a 13.276
_cell_length_b 3.447
_cell_length_c 4.320
_cell_angle_alpha 90.00
_cell_angle_beta 90.00
_cell_angle_gamma 90.00
loop_
_symmetry_equiv_pos_as_xyz
'x,y,z'
'-x,-y,z'
'-x,y,z'
'x,-y,z'
'x,y+1/2,z+1/2'
'-x,-y+1/2,z+1/2'
'-x,y+1/2,z+1/2'
'x,-y+1/2,z+1/2'
loop_
_atom_site_label
_atom_site_type_symbol
_atom_site_fract_x
_atom_site_fract_y
_atom_site_fract_z
Mg1 Mg 0.158 0.000 0.000
Nb1 Nb 0.350 0.000 0.501
Fe1 Fe 0.000 0.000 0.499
Fe2 Fe 0.500 0.000 0.001

***

# MgNb2Fe (PBE-GGA, relaxed)
# Energy relative to the elements, kcal/mol of atoms: 10.08
data_MgNb2Fe
_symmetry_space_group_name_H-M 'I -4 2 d'
_symmetry_Int_Tables_number 122
_symmetry_space_group_name_Hall 'I -4 2bw'
_cell_length_a 7.275
_cell_length_b 7.275
_cell_length_c 5.388
_cell_angle_alpha 90.00
_cell_angle_beta 90.00
_cell_angle_gamma 90.00
loop_
_atom_site_label
_atom_site_type_symbol
_atom_site_fract_x
_atom_site_fract_y
_atom_site_fract_z
Mg1 Mg 0.000 0.000 0.000
Nb1 Nb 0.190 0.750 0.625
Fe1 Fe 0.000 0.000 0.500

***

# Mg2NbFe (PBE-GGA, relaxed)
# Energy above the lowest structure with this stoichiometry, meV/atom: 46
# Energy relative to the elements, kcal/mol of atoms: 16.24
data_Mg2NbFe
_symmetry_space_group_name_H-M 'I -4 2 d'
_symmetry_Int_Tables_number 122
_symmetry_space_group_name_Hall 'I -4 2bw'
_cell_length_a 7.469
_cell_length_b 7.469
_cell_length_c 5.202
_cell_angle_alpha 90.00
_cell_angle_beta 90.00
_cell_angle_gamma 90.00
loop_
_atom_site_label
_atom_site_type_symbol
_atom_site_fract_x
_atom_site_fract_y
_atom_site_fract_z
Mg1 Mg 0.213 0.250 0.125
Nb1 Nb 0.000 0.000 0.500
Fe1 Fe 0.000 0.000 0.000

***

# MgNb3Fe8 (PBE-GGA, relaxed)
# Energy relative to the elements, kcal/mol of atoms: -2.72
data_MgNb3Fe8
_symmetry_space_group_name_H-M 'R 3 m'
_symmetry_Int_Tables_number 160
_symmetry_space_group_name_Hall 'R 3 -2"'
_cell_length_a 4.8349
_cell_length_b 4.8349
_cell_length_c 23.6389
_cell_angle_alpha 90.00
_cell_angle_beta 90.00
_cell_angle_gamma 120.00
loop_
_atom_site_label
_atom_site_type_symbol
_atom_site_fract_x
_atom_site_fract_y
_atom_site_fract_z
Mg1 Mg 0.0000 0.0000 0.0000
Nb1 Nb 0.0000 0.0000 0.1241
Nb2 Nb 0.0000 0.0000 0.5013
Nb3 Nb 0.0000 0.0000 0.6272
Fe1 Fe 0.0000 0.0000 0.3132
Fe2 Fe 0.0000 0.0000 0.8135
Fe3 Fe 0.0004 0.5002 0.0638
Fe4 Fe 0.9996 0.4998 0.5627

***

# Mg2NbFe2 (PBE-GGA, relaxed)
# Energy relative to the elements, kcal/mol of atoms: 6.25
data_Mg2NbFe2
_symmetry_space_group_name_H-M 'P 4/m b m'
_symmetry_Int_Tables_number 127
_symmetry_space_group_name_Hall '-P 4 2ab'
_cell_length_a 6.149
_cell_length_b 6.149
_cell_length_c 4.339
_cell_angle_alpha 90.00
_cell_angle_beta 90.00
_cell_angle_gamma 90.00
loop_
_atom_site_label
_atom_site_type_symbol
_atom_site_fract_x
_atom_site_fract_y
_atom_site_fract_z
Mg1 Mg 0.174 0.326 0.000
Nb1 Nb 0.000 0.000 0.500
Fe1 Fe 0.124 0.624 0.500

***

Question: Number 4 is which compound?
Answer: MgNbFe